This record from Alexandria describes a relaxed structure of CrFeTcW. The functional is GGA-PBE.

Cell and atoms, written as CIF:
```
data_CrFeTcW
_chemical_formula_sum 'Cr4 Fe4 Tc4 W4'
_space_group_name_H-M_alt 'F -4 3 m'
_space_group_IT_number 216
_space_group_name_Hall 'F -4 2 3'
_cell_length_a 6.0179
_cell_length_b 6.0179
_cell_length_c 6.0179
_cell_angle_alpha 90.00
_cell_angle_beta 90.00
_cell_angle_gamma 90.00
loop_
_atom_site_label
_atom_site_fract_x
_atom_site_fract_y
_atom_site_fract_z
Cr1 0.0000 0.0000 0.0000
Fe1 0.2500 0.2500 0.7500
Tc1 0.2500 0.2500 0.2500
W1 0.0000 0.0000 0.5000
```

Output
total magnetic moment: 0.672 μB/atom
raw total energy: -10.228 eV per atom